1.
Below is Dy4Pd2C after structural relaxation, with properties calculated at the PBE level.

```
Dy4Pd2C
1.0
-2.811 3.880 -0.249
-3.663 -2.540 1.774
5.182 1.166 5.879
C Dy Pd
1 4 2
direct
0.000 0.000 0.000
0.000 0.500 0.000
0.500 0.000 0.000
0.173 0.173 0.346
0.827 0.827 0.654
0.368 0.368 0.736
0.632 0.632 0.264
```

As for the density of states at the Fermi level: 4.39 states/eV/cell. Its space group is No. 139. The total energy is -5.9044 eV/atom. The magnetization comes out at 0.0 Bohr magnetons per cell. Its formation energy is -0.47 eV/atom.

***

2.
Below is DyPdC after structural relaxation, with properties calculated at the PBE level.

```
DyPdC
1.0
3.419 -0.837 0.407
0.887 3.404 -0.430
1.889 -3.096 8.563
Dy Pd C
2 2 2
direct
0.267 0.914 0.056
0.445 0.737 0.377
0.013 0.169 0.811
0.700 0.482 0.623
0.756 0.426 0.067
0.957 0.225 0.366
```

As for the density of states at the Fermi level: 4.56 states/eV/cell. Its space group is No. 129. The total energy is -6.4756 eV/atom. The magnetization comes out at 0.0 Bohr magnetons per cell. Its formation energy is -0.14 eV/atom.

***

3.
Below is Dy6Pd2C after structural relaxation, with properties calculated at the PBE level.

```
Dy6Pd2C
1.0
-5.946 -0.195 2.773
-2.442 -3.717 -5.497
2.191 -8.172 4.553
Dy Pd C
12 4 2
direct
0.322 0.800 0.944
0.306 0.820 0.555
0.822 0.700 0.444
0.112 0.032 0.258
0.194 0.320 0.945
0.888 0.968 0.742
0.806 0.680 0.055
0.388 0.532 0.242
0.178 0.300 0.556
0.678 0.200 0.056
0.612 0.468 0.758
0.694 0.180 0.445
0.962 0.414 0.249
0.462 0.086 0.749
0.538 0.914 0.251
0.038 0.586 0.751
0.000 0.000 0.500
0.500 0.500 0.000
```

As for the density of states at the Fermi level: 17.63 states/eV/cell. Its space group is No. 14. The total energy is -5.7532 eV/atom. The magnetization comes out at 0.0 Bohr magnetons per cell. Its formation energy is -0.51 eV/atom.